1.
The following is a DFT calculation (GGA-PBE) of a geometry-optimized CdRe2Br structure.

Output
space group: No. 44
distance to the lowest polymorph of the same formula: 624 meV/atom
formation energy without anion corrections: 0.9185 eV/atom
volume: 23.5 Å³ per atom
final energy: -5.953 eV per atom

Lattice parameters (Å, degrees): 6.478 6.478 6.478 149.57 136.59 53.93
Element x y z (fractional)
Re  0.905  0.905  0.000
Re  0.768  0.268  0.500
Br  0.554  0.554  0.000
Cd  0.272  0.772  0.500

2.
The following is a DFT calculation (GGA-PBE) of a geometry-optimized CdRe2Br structure.

Output
space group: No. 12
distance to the lowest polymorph of the same formula: 874 meV/atom
formation energy without anion corrections: 1.1691 eV/atom
volume: 18.5 Å³ per atom
final energy: -5.702 eV per atom

Lattice parameters (Å, degrees): 4.404 5.944 3.185 74.56 89.75 111.67
Element x y z (fractional)
Re  0.000  0.000  0.000
Br  0.000  0.500  0.500
Re  0.500  0.000  0.500
Cd  0.500  0.500  0.000

3.
The following is a DFT calculation (GGA-PBE) of a geometry-optimized TaCd2ReBr structure.

Output
space group: No. 123
formation energy without anion corrections: 1.7818 eV/atom
volume: 29.7 Å³ per atom
final energy: -3.779 eV per atom

Lattice parameters (Å, degrees): 5.537 4.843 5.537 90.00 90.00 90.00
Each line ends with the local moment (μB).
Element x y z (fractional)
Re  0.500  0.500  0.500  3.83
Ta  0.000  0.000  0.000  -0.18
Cd  0.500  0.000  0.000  -0.01
Cd  0.000  0.000  0.500  -0.01
Br  0.000  0.500  0.000  0.01

4.
The following is a DFT calculation (GGA-PBE) of a geometry-optimized VCd2ReBr structure.

Output
space group: No. 123
formation energy without anion corrections: 1.5820 eV/atom
volume: 26.9 Å³ per atom
final energy: -3.432 eV per atom

Lattice parameters (Å, degrees): 5.390 4.637 5.390 90.00 90.00 90.00
Each line ends with the local moment (μB).
Element x y z (fractional)
Re  0.000  0.000  0.000  0.12
Cd  0.000  0.000  0.500  0.01
Br  0.000  0.500  0.000  0.00
Cd  0.500  0.000  0.000  0.00
V  0.500  0.500  0.500  0.11

5.
The following is a DFT calculation (GGA-PBE) of a geometry-optimized CdRhBr structure.

Output
space group: No. 187
distance to the lowest polymorph of the same formula: 128 meV/atom
formation energy without anion corrections: 0.2627 eV/atom
volume: 19.8 Å³ per atom
final energy: -3.050 eV per atom

Lattice parameters (Å, degrees): 4.501 4.501 3.385 90.00 90.00 120.00
Element x y z (fractional)
Br  0.000  0.000  0.834
Rh  0.333  0.667  0.833
Cd  0.667  0.333  0.333

6.
The following is a DFT calculation (GGA-PBE) of a geometry-optimized CdRhBr2 structure.

Output
space group: No. 44
distance to the lowest polymorph of the same formula: 158 meV/atom
formation energy without anion corrections: -0.0730 eV/atom
volume: 25.8 Å³ per atom
final energy: -2.976 eV per atom

Lattice parameters (Å, degrees): 8.146 8.146 8.146 155.71 152.32 37.15
Element x y z (fractional)
Br  0.759  0.259  0.500
Br  0.023  0.023  0.000
Rh  0.288  0.788  0.500
Cd  0.430  0.430  0.000

7.
The following is a DFT calculation (GGA-PBE) of a geometry-optimized CdRhBr structure.

Output
space group: No. 107
distance to the lowest polymorph of the same formula: 49 meV/atom
formation energy without anion corrections: 0.1839 eV/atom
volume: 20.4 Å³ per atom
final energy: -3.129 eV per atom

Lattice parameters (Å, degrees): 6.346 6.346 3.214 75.33 75.33 29.33
Element x y z (fractional)
Rh  0.330  0.330  0.670
Cd  0.692  0.692  0.308
Br  0.977  0.977  0.023

8.
The following is a DFT calculation (GGA-PBE) of a geometry-optimized CdRhBr4 structure.

Output
space group: No. 216
formation energy without anion corrections: 0.9245 eV/atom
volume: 28.1 Å³ per atom
final energy: -1.568 eV per atom

Lattice parameters (Å, degrees): 6.200 6.200 6.200 60.00 60.00 60.00
Each line ends with the local moment (μB).
Element x y z (fractional)
Br  0.874  0.375  0.375  -0.11
Rh  0.000  0.000  0.000  1.42
Br  0.375  0.874  0.375  -0.11
Cd  0.750  0.750  0.750  -0.01
Br  0.375  0.375  0.375  -0.11
Br  0.375  0.375  0.874  -0.11

9.
The following is a DFT calculation (GGA-PBE) of a geometry-optimized CdRhBr2 structure.

Output
space group: No. 47
distance to the lowest polymorph of the same formula: 474 meV/atom
formation energy without anion corrections: 0.2428 eV/atom
volume: 22.7 Å³ per atom
final energy: -2.660 eV per atom

Lattice parameters (Å, degrees): 3.569 6.066 4.203 90.00 90.00 90.00
Each line ends with the local moment (μB).
Element x y z (fractional)
Br  0.000  0.000  0.000  0.00
Rh  0.000  0.500  0.500  0.46
Cd  0.500  0.000  0.500  -0.01
Br  0.500  0.500  0.000  0.03

10.
The following is a DFT calculation (GGA-PBE) of a geometry-optimized CdRh2Br structure.

Output
space group: No. 225
distance to the lowest polymorph of the same formula: 389 meV/atom
formation energy without anion corrections: 0.5197 eV/atom
volume: 17.6 Å³ per atom
final energy: -3.803 eV per atom

Lattice parameters (Å, degrees): 4.633 4.633 4.633 60.00 60.00 60.00
Each line ends with the local moment (μB).
Element x y z (fractional)
Rh  0.250  0.250  0.250  0.85
Br  0.000  0.000  0.000  0.17
Cd  0.500  0.500  0.500  -0.01
Rh  0.750  0.750  0.750  0.85

11.
The following is a DFT calculation (GGA-PBE) of a geometry-optimized CdRhBr2 structure.

Output
space group: No. 12
distance to the lowest polymorph of the same formula: 427 meV/atom
formation energy without anion corrections: 0.1952 eV/atom
volume: 25.0 Å³ per atom
final energy: -2.708 eV per atom

Lattice parameters (Å, degrees): 5.146 5.146 5.153 63.46 63.44 96.98
Each line ends with the local moment (μB).
Element x y z (fractional)
Rh  0.000  0.500  0.500  0.33
Cd  0.500  0.000  0.500  0.00
Br  0.500  0.500  0.000  0.02
Br  0.000  0.000  0.000  0.02

12.
The following is a DFT calculation (GGA-PBE) of a geometry-optimized CdRh2Br structure.

Output
space group: No. 123
distance to the lowest polymorph of the same formula: 203 meV/atom
formation energy without anion corrections: 0.3344 eV/atom
volume: 17.0 Å³ per atom
final energy: -3.988 eV per atom

Lattice parameters (Å, degrees): 3.119 3.119 7.008 90.00 90.00 90.00
Element x y z (fractional)
Cd  0.500  0.500  0.750
Rh  0.000  0.000  0.011
Rh  0.000  0.000  0.489
Br  0.500  0.500  0.250

13.
The following is a DFT calculation (GGA-PBE) of a geometry-optimized Cd2RhBr structure.

Output
space group: No. 6
distance to the lowest polymorph of the same formula: 107 meV/atom
formation energy without anion corrections: -0.0662 eV/atom
volume: 25.2 Å³ per atom
final energy: -2.780 eV per atom

Lattice parameters (Å, degrees): 4.043 3.465 7.412 103.45 90.00 90.00
Element x y z (fractional)
Cd  0.500  0.134  0.394
Br  0.500  0.819  0.763
Rh  0.000  0.595  0.316
Cd  0.000  0.952  0.027

14.
The following is a DFT calculation (GGA-PBE) of a geometry-optimized CdRh2Br structure.

Output
space group: No. 44
distance to the lowest polymorph of the same formula: 221 meV/atom
formation energy without anion corrections: 0.3521 eV/atom
volume: 17.7 Å³ per atom
final energy: -3.971 eV per atom

Lattice parameters (Å, degrees): 5.699 5.699 5.699 148.83 132.02 58.33
Element x y z (fractional)
Cd  0.255  0.755  0.500
Br  0.530  0.530  0.000
Rh  0.740  0.240  0.500
Rh  0.975  0.975  0.000

15.
The following is a DFT calculation (GGA-PBE) of a geometry-optimized CdRhBr2 structure.

Output
space group: No. 166
distance to the lowest polymorph of the same formula: 246 meV/atom
formation energy without anion corrections: 0.0146 eV/atom
volume: 29.1 Å³ per atom
final energy: -2.889 eV per atom

Lattice parameters (Å, degrees): 9.832 9.832 9.832 21.94 21.94 21.94
Each line ends with the local moment (μB).
Element x y z (fractional)
Br  0.884  0.884  0.884  0.09
Cd  0.000  0.000  0.000  -0.02
Rh  0.500  0.500  0.500  0.74
Br  0.116  0.116  0.116  0.09

16.
The following is a DFT calculation (GGA-PBE) of a geometry-optimized CdRhBr2 structure.

Output
space group: No. 122
distance to the lowest polymorph of the same formula: 106 meV/atom
formation energy without anion corrections: -0.1254 eV/atom
volume: 26.6 Å³ per atom
final energy: -3.028 eV per atom

Lattice parameters (Å, degrees): 8.938 8.938 6.860 49.35 49.35 90.00
Element x y z (fractional)
Rh  0.500  0.500  0.000
Cd  0.000  0.000  0.000
Br  0.261  0.625  0.250
Cd  0.750  0.250  0.500
Br  0.489  0.125  0.250
Rh  0.250  0.750  0.500
Br  0.375  0.511  0.750
Br  0.875  0.739  0.750

17.
The following is a DFT calculation (GGA-PBE) of a geometry-optimized CdRhBr2 structure.

Output
space group: No. 119
distance to the lowest polymorph of the same formula: 487 meV/atom
formation energy without anion corrections: 0.2558 eV/atom
volume: 22.5 Å³ per atom
final energy: -2.647 eV per atom

Lattice parameters (Å, degrees): 6.494 6.494 6.494 144.95 144.95 50.40
Element x y z (fractional)
Rh  0.750  0.250  0.500
Cd  0.500  0.500  0.000
Br  0.000  0.000  0.000
Br  0.250  0.750  0.500

18.
The following is a DFT calculation (GGA-PBE) of a geometry-optimized CdRh2Br structure.

Output
space group: No. 47
distance to the lowest polymorph of the same formula: 177 meV/atom
formation energy without anion corrections: 0.3076 eV/atom
volume: 18.3 Å³ per atom
final energy: -4.015 eV per atom

Lattice parameters (Å, degrees): 4.043 3.129 5.772 90.02 90.00 90.00
Element x y z (fractional)
Br  0.500  0.250  0.250
Cd  0.500  0.750  0.750
Rh  0.000  0.250  0.984
Rh  0.000  0.250  0.516

19.
The following is a DFT calculation (GGA-PBE) of a geometry-optimized CdRhBr2 structure.

Output
space group: No. 160
distance to the lowest polymorph of the same formula: 50 meV/atom
formation energy without anion corrections: -0.1815 eV/atom
volume: 25.5 Å³ per atom
final energy: -3.085 eV per atom

Lattice parameters (Å, degrees): 8.692 8.692 8.692 24.85 24.85 24.85
Each line ends with the local moment (μB).
Element x y z (fractional)
Br  0.229  0.229  0.229  -0.01
Br  0.031  0.031  0.031  0.19
Rh  0.749  0.749  0.749  0.80
Cd  0.491  0.491  0.491  -0.01

20.
The following is a DFT calculation (GGA-PBE) of a geometry-optimized Cd2Rh2Br structure.

Output
space group: No. 127
distance to the lowest polymorph of the same formula: 0 meV/atom
formation energy without anion corrections: 0.1288 eV/atom
volume: 19.1 Å³ per atom
final energy: -3.512 eV per atom

Lattice parameters (Å, degrees): 6.941 6.941 3.969 90.00 90.00 90.00
Element x y z (fractional)
Br  0.000  0.000  0.000
Cd  0.347  0.153  0.500
Br  0.500  0.500  0.000
Rh  0.355  0.855  0.000
Rh  0.145  0.355  0.000
Cd  0.153  0.653  0.500
Rh  0.645  0.145  0.000
Rh  0.855  0.645  0.000
Cd  0.653  0.847  0.500
Cd  0.847  0.347  0.500